This record from the Alexandria database describes a relaxed Dy2ScS3 crystal. The functional is PBE.

Cell lengths 3.848, 3.848, 9.334 Å; angles 90.00, 90.00, 120.00 degrees
Atoms (fractional coordinates):
Dy 0.333 0.667 0.173
Dy 0.667 0.333 0.827
Sc 0.000 0.000 0.500
S 0.000 0.000 0.000
S 0.333 0.667 0.653
S 0.667 0.333 0.347

Output
Electronic total energy, eV per atom: -6.595
N(E_F), states/eV/cell: 3.06

This record from the Alexandria database describes a relaxed Pr2Dy3Se8 crystal. The functional is PBE.

Cell lengths 8.386, 8.386, 7.079 Å; angles 106.81, 106.81, 59.75 degrees
Atoms (fractional coordinates):
Pr 0.239 0.239 0.162
Pr 0.761 0.761 0.838
Dy 0.239 0.761 0.500
Dy 0.500 0.500 0.000
Dy 0.761 0.239 0.500
Se 0.122 0.122 0.430
Se 0.145 0.617 0.089
Se 0.383 0.855 0.911
Se 0.386 0.386 0.580
Se 0.614 0.614 0.420
Se 0.617 0.145 0.089
Se 0.855 0.383 0.911
Se 0.878 0.878 0.570

Output
Electronic total energy, eV per atom: -5.672
N(E_F), states/eV/cell: 6.54

This record from the Alexandria database describes a relaxed LaSm12Tm3 crystal. The functional is PBE.

Cell lengths 5.104, 5.104, 20.426 Å; angles 90.00, 90.00, 90.00 degrees
Atoms (fractional coordinates):
La 0.000 0.000 0.000
Sm 0.000 0.500 0.129
Sm 0.000 0.500 0.376
Sm 0.000 0.500 0.624
Sm 0.000 0.500 0.871
Sm 0.500 0.000 0.129
Sm 0.500 0.000 0.376
Sm 0.500 0.000 0.624
Sm 0.500 0.000 0.871
Sm 0.500 0.500 0.000
Sm 0.500 0.500 0.254
Sm 0.500 0.500 0.500
Sm 0.500 0.500 0.746
Tm 0.000 0.000 0.252
Tm 0.000 0.000 0.500
Tm 0.000 0.000 0.748

Output
Electronic total energy, eV per atom: -4.666
N(E_F), states/eV/cell: 24.27
Formation energy, meV per atom: 19.8

- The highest N(E_F) belongs to which entry?
  LaSm12Tm3